VASP calculation (PBE) on a relaxed TiBe5Pd4 crystal.

a b c (Å): 2.839 2.839 14.446
angles (deg): 90.00 90.00 90.00
Fractional positions:
Ti 0.000 0.000 0.000
Be 0.500 0.500 0.116
Be 0.500 0.500 0.303
Be 0.500 0.500 0.500
Be 0.500 0.500 0.697
Be 0.500 0.500 0.884
Pd 0.000 0.000 0.207
Pd 0.000 0.000 0.402
Pd 0.000 0.000 0.598
Pd 0.000 0.000 0.793

Calculated values
energy	-52.14	eV per cell
total magnetic moment	0.260	μB/f.u.
formation enthalpy at 0 K	-0.48	eV/atom

=====

VASP calculation (PBE) on a relaxed TiBe2Pd3 crystal.

a b c (Å): 2.800 2.800 9.746
angles (deg): 90.00 90.00 90.00
Fractional positions:
Ti 0.000 0.000 0.000
Be 0.000 0.000 0.350
Be 0.000 0.000 0.650
Pd 0.500 0.500 0.205
Pd 0.500 0.500 0.500
Pd 0.500 0.500 0.795

Calculated values
energy	-34.43	eV per cell
total magnetic moment	0.692	μB/f.u.
formation enthalpy at 0 K	-0.58	eV/atom

=====

VASP calculation (PBE) on a relaxed Ti3Be8Pd crystal.

a b c (Å): 7.826 7.826 7.826
angles (deg): 33.25 33.25 33.25
Fractional positions:
Ti 0.000 0.000 0.000
Ti 0.125 0.125 0.125
Ti 0.624 0.624 0.624
Be 0.058 0.565 0.565
Be 0.063 0.063 0.559
Be 0.063 0.559 0.063
Be 0.311 0.311 0.311
Be 0.559 0.063 0.063
Be 0.565 0.058 0.565
Be 0.565 0.565 0.058
Be 0.813 0.813 0.813
Pd 0.501 0.501 0.501

Calculated values
energy	-62.31	eV per cell
total magnetic moment	1.942	μB/f.u.
formation enthalpy at 0 K	-0.30	eV/atom

=====

VASP calculation (PBE) on a relaxed Ti2Be2Pd crystal.

a b c (Å): 7.220 7.220 2.638
angles (deg): 90.00 90.00 90.00
Fractional positions:
Ti 0.132 0.368 0.000
Ti 0.368 0.868 0.000
Ti 0.632 0.132 0.000
Ti 0.868 0.632 0.000
Be 0.167 0.667 0.500
Be 0.333 0.167 0.500
Be 0.667 0.833 0.500
Be 0.833 0.333 0.500
Pd 0.000 0.000 0.000
Pd 0.500 0.500 0.000

Calculated values
energy	-55.20	eV per cell
total magnetic moment	0.000	μB/f.u.
formation enthalpy at 0 K	0.17	eV/atom

=====

VASP calculation (PBE) on a relaxed Ti3BePd crystal.

a b c (Å): 4.336 4.336 4.336
angles (deg): 90.00 90.00 90.00
Fractional positions:
Ti 0.000 0.000 0.500
Ti 0.000 0.500 0.000
Ti 0.500 0.000 0.000
Be 0.000 0.000 0.000
Pd 0.500 0.500 0.500

Calculated values
energy	-31.13	eV per cell
total magnetic moment	0.626	μB/f.u.
formation enthalpy at 0 K	0.29	eV/atom

=====

VASP calculation (PBE) on a relaxed TiBePd3 crystal.

a b c (Å): 4.230 5.488 6.218
angles (deg): 90.00 90.00 90.00
Fractional positions:
Ti 0.250 0.250 0.215
Ti 0.750 0.750 0.785
Be 0.250 0.750 0.399
Be 0.750 0.250 0.601
Pd 0.250 0.013 0.667
Pd 0.250 0.487 0.667
Pd 0.250 0.750 0.050
Pd 0.750 0.250 0.950
Pd 0.750 0.513 0.333
Pd 0.750 0.987 0.333

Calculated values
energy	-58.91	eV per cell
total magnetic moment	0.000	μB/f.u.
formation enthalpy at 0 K	-0.45	eV/atom

=====

VASP calculation (PBE) on a relaxed Ti3BePd crystal.

a b c (Å): 4.727 4.727 4.727
angles (deg): 90.00 90.00 90.00
Fractional positions:
Ti 0.000 0.000 0.500
Ti 0.000 0.500 0.000
Ti 0.500 0.000 0.000
Be 0.500 0.500 0.500
Pd 0.000 0.000 0.000

Calculated values
energy	-28.06	eV per cell
total magnetic moment	0.000	μB/f.u.
formation enthalpy at 0 K	0.91	eV/atom

=====

VASP calculation (PBE) on a relaxed Ti6BePd12 crystal.

a b c (Å): 6.662 6.662 6.662
angles (deg): 91.23 91.23 91.23
Fractional positions:
Ti 0.204 0.758 0.379
Ti 0.242 0.621 0.796
Ti 0.379 0.204 0.758
Ti 0.621 0.796 0.242
Ti 0.758 0.379 0.204
Ti 0.796 0.242 0.621
Be 0.500 0.500 0.500
Pd 0.043 0.296 0.947
Pd 0.053 0.957 0.704
Pd 0.151 0.367 0.483
Pd 0.296 0.947 0.043
Pd 0.367 0.483 0.151
Pd 0.483 0.151 0.367
Pd 0.517 0.849 0.633
Pd 0.633 0.517 0.849
Pd 0.704 0.053 0.957
Pd 0.849 0.633 0.517
Pd 0.947 0.043 0.296
Pd 0.957 0.704 0.053

Calculated values
energy	-122.76	eV per cell
total magnetic moment	0.001	μB/f.u.
formation enthalpy at 0 K	-0.49	eV/atom